(A)
ErMnOs | PBE | optimized geometry

Lattice parameters (Å, degrees): 5.2100 5.2893 7.5111 90.00 90.00 90.00
Space group Imma (No. 74)
Symmetry-distinct sites (fractional):
Er (0.0000, 0.2500, 0.1229)
Mn (0.0000, 0.0000, 0.5000)
Os (0.2500, 0.2500, 0.7500)

(B)
ErMnOs | PBE | optimized geometry

Lattice parameters (Å, degrees): 4.8999 8.6768 9.0785 90.00 90.00 90.00
Space group Fmmm (No. 69)
Symmetry-distinct sites (fractional):
Er (0.0000, 0.1609, 0.0000)
Mn (0.2500, 0.2500, 0.2500)
Os (0.0000, 0.0000, 0.3565)

Most stable structure - (A); separation to the second - 457 meV per atom.

(A)
ErPaMn2 | PBE | optimized geometry

Lattice parameters (Å, degrees): 4.7640 4.7640 3.3592 90.00 90.00 90.00
Space group P4/mmm (No. 123)
Symmetry-distinct sites (fractional):
Er (0.0000, 0.0000, 0.0000)
Pa (0.5000, 0.5000, 0.0000)
Mn (0.0000, 0.5000, 0.5000)

(B)
ErPaMn2 | PBE | optimized geometry

Lattice parameters (Å, degrees): 4.3291 4.3291 14.4418 90.00 90.00 120.00
Space group R-3m (No. 166, hexagonal axes)
Symmetry-distinct sites (fractional):
Er (0.0000, 0.0000, 0.0000)
Pa (0.0000, 0.0000, 0.5000)
Mn (0.0000, 0.0000, 0.2068)

(C)
ErPaMn2 | PBE | optimized geometry

Lattice parameters (Å, degrees): 3.3466 3.3466 6.8739 90.00 90.00 90.00
Space group P4/mmm (No. 123)
Symmetry-distinct sites (fractional):
Er (0.0000, 0.0000, 0.0000)
Pa (0.0000, 0.0000, 0.5000)
Mn (0.5000, 0.5000, 0.2938)

Most stable structure - (B); separation to the second - 21 meV per atom.